# 1
Li2Ge2Au3 | PBE | relaxed

Summary:
Calculated volume, A^3/atom: 18.92
Density of states at the Fermi level, states/eV/f.u.: 1.443
Energy relative to the lowest polymorph listed for this composition, meV per atom: 0
E_form, meV/atom: -291
Size of the total moment, μB/f.u.: 0.000

Cell lengths 5.5213, 5.5213, 6.2415 Å; angles 104.76, 104.76, 46.44 degrees
Sites, in units of the cell vectors:
1 Li 0.1140 0.1140 0.3123
2 Li 0.8860 0.8860 0.6877
3 Ge 0.4002 0.4002 0.3331
4 Ge 0.5998 0.5998 0.6669
5 Au 0.2091 0.2091 0.8249
6 Au 0.5000 0.5000 0.0000
7 Au 0.7909 0.7909 0.1751

***

# 2
LiGe2Au2 | PBE | relaxed

Summary:
Calculated volume, A^3/atom: 19.11
Density of states at the Fermi level, states/eV/f.u.: 1.483
Energy relative to the lowest polymorph listed for this composition, meV per atom: 23
E_form, meV/atom: -95
Size of the total moment, μB/f.u.: 0.000

Cell lengths 7.2975, 7.2975, 3.5889 Å; angles 90.00, 90.00, 90.00 degrees
Sites, in units of the cell vectors:
1 Li 0.0000 0.0000 0.0000
2 Li 0.5000 0.5000 0.0000
3 Ge 0.1598 0.3402 0.5000
4 Ge 0.3402 0.8402 0.5000
5 Ge 0.6597 0.1598 0.5000
6 Ge 0.8402 0.6597 0.5000
7 Au 0.1468 0.6468 0.0000
8 Au 0.3532 0.1468 0.0000
9 Au 0.6468 0.8532 0.0000
10 Au 0.8532 0.3532 0.0000

***

# 3
Li4Ge2Au | PBE | relaxed

Summary:
Calculated volume, A^3/atom: 20.54
Density of states at the Fermi level, states/eV/f.u.: 2.040
E_form, meV/atom: -179
Size of the total moment, μB/f.u.: 0.000

Cell lengths 7.8297, 7.8297, 4.7751 Å; angles 90.00, 90.00, 150.58 degrees
Sites, in units of the cell vectors:
1 Li 0.0948 0.9052 0.0000
2 Li 0.3788 0.6212 0.5000
3 Li 0.6212 0.3788 0.5000
4 Li 0.9052 0.0948 0.0000
5 Ge 0.2965 0.7035 0.0000
6 Ge 0.7035 0.2965 0.0000
7 Au 0.0000 0.0000 0.5000

***

# 4
Li2GeAu2 | PBE | relaxed

Summary:
Calculated volume, A^3/atom: 16.49
Density of states at the Fermi level, states/eV/f.u.: 1.529
Energy relative to the lowest polymorph listed for this composition, meV per atom: 117
E_form, meV/atom: -292
Size of the total moment, μB/f.u.: 0.000

Cell lengths 7.5638, 7.5638, 2.8818 Å; angles 90.00, 90.00, 90.00 degrees
Sites, in units of the cell vectors:
1 Li 0.1371 0.3629 0.0000
2 Li 0.3629 0.8629 0.0000
3 Li 0.6371 0.1371 0.0000
4 Li 0.8629 0.6371 0.0000
5 Ge 0.0000 0.0000 0.0000
6 Ge 0.5000 0.5000 0.0000
7 Au 0.1579 0.6579 0.5000
8 Au 0.3421 0.1579 0.5000
9 Au 0.6579 0.8421 0.5000
10 Au 0.8421 0.3421 0.5000

***

# 5
Li8GeAu6 | PBE | relaxed

Summary:
Calculated volume, A^3/atom: 18.50
Density of states at the Fermi level, states/eV/f.u.: 6.070
E_form, meV/atom: -380
Size of the total moment, μB/f.u.: 0.000

Cell lengths 6.9749, 6.9749, 6.9749 Å; angles 67.34, 67.34, 67.34 degrees
Sites, in units of the cell vectors:
1 Li 0.0596 0.3773 0.7084
2 Li 0.1655 0.1655 0.1655
3 Li 0.2916 0.9404 0.6227
4 Li 0.3773 0.7084 0.0596
5 Li 0.6227 0.2916 0.9404
6 Li 0.7084 0.0596 0.3773
7 Li 0.8345 0.8345 0.8345
8 Li 0.9404 0.6227 0.2916
9 Ge 0.5000 0.5000 0.5000
10 Au 0.1095 0.7900 0.4515
11 Au 0.2100 0.5485 0.8905
12 Au 0.4515 0.1095 0.7900
13 Au 0.5485 0.8905 0.2100
14 Au 0.7900 0.4515 0.1095
15 Au 0.8905 0.2100 0.5485

***

# 6
Li2GeAu2 | PBE | relaxed

Summary:
Calculated volume, A^3/atom: 16.25
Density of states at the Fermi level, states/eV/f.u.: 1.316
Energy relative to the lowest polymorph listed for this composition, meV per atom: 0
E_form, meV/atom: -408
Size of the total moment, μB/f.u.: 0.000

Cell lengths 5.3180, 5.3180, 7.9073 Å; angles 102.12, 102.12, 48.29 degrees
Sites, in units of the cell vectors:
1 Li 0.0508 0.5537 0.8520
2 Li 0.4463 0.9492 0.6480
3 Li 0.5537 0.0508 0.3520
4 Li 0.9492 0.4463 0.1480
5 Ge 0.2489 0.7511 0.2500
6 Ge 0.7511 0.2489 0.7500
7 Au 0.1504 0.6475 0.5545
8 Au 0.3525 0.8496 0.9455
9 Au 0.6475 0.1504 0.0545
10 Au 0.8496 0.3525 0.4455

***

Question: Number 2 is which compound?
Answer: LiGe2Au2